Density functional theory data (PBE) for NbPtAu2 after structural relaxation.

Values from the calculation:
- space group = I-42d (122)
- spin magnetization (μB/atom) = 0.000
- V (Å³ per atom) = 19.04
- DFT total energy (eV per atom) = -5.36
- N(E_F) (states/eV per cell) = 18.16
- energy of formation from the pure elements (meV/atom) = 303

a = 7.5073 Å, b = 7.5073 Å, c = 5.4061 Å
α = 90.00°, β = 90.00°, γ = 90.00°
Element x y z (fractional)
1 Nb 0.0000 0.0000 0.0000
2 Nb 0.0000 0.5000 0.2500
3 Nb 0.5000 0.0000 0.7500
4 Nb 0.5000 0.5000 0.5000
5 Pt 0.0000 0.0000 0.5000
6 Pt 0.0000 0.5000 0.7500
7 Pt 0.5000 0.0000 0.2500
8 Pt 0.5000 0.5000 0.0000
9 Au 0.2491 0.7500 0.1250
10 Au 0.2500 0.2491 0.8750
11 Au 0.2500 0.2509 0.3750
12 Au 0.2509 0.7500 0.6250
13 Au 0.7491 0.2500 0.6250
14 Au 0.7500 0.7491 0.3750
15 Au 0.7500 0.7509 0.8750
16 Au 0.7509 0.2500 0.1250